# 1
VASP calculation (GGA-PBE) on a relaxed CaBe2Os crystal.

E_tot in eV/atom: -4.725
Relative energy among the computed polymorphs in meV per atom: 472
Volume in A^3/atom: 14.29
Formation energy from the elements in eV/atom: 0.45

The structure in CIF format:
```
data_CaBe2Os
_cell_length_a 2.6668
_cell_length_b 4.6742
_cell_length_c 9.1698
_cell_angle_alpha 90.00
_cell_angle_beta 90.00
_cell_angle_gamma 90.00
_symmetry_space_group_name_H-M 'I m m 2'
_symmetry_Int_Tables_number 44
_symmetry_space_group_name_Hall 'I 2 -2'
loop_
_atom_site_label
_atom_site_type_symbol
_atom_site_fract_x
_atom_site_fract_y
_atom_site_fract_z
Ca1 Ca 0.0000 0.0000 0.0000
Be1 Be 0.0000 0.0000 0.5049
Be2 Be 0.0000 0.5000 0.2107
Os1 Os 0.0000 0.5000 0.7949
```

# 2
VASP calculation (GGA-PBE) on a relaxed CaBe2Os crystal.

E_tot in eV/atom: -4.805
Relative energy among the computed polymorphs in meV per atom: 392
Volume in A^3/atom: 14.09
Formation energy from the elements in eV/atom: 0.37

The structure in CIF format:
```
data_CaBe2Os
_cell_length_a 6.0858
_cell_length_b 6.0858
_cell_length_c 6.0858
_cell_angle_alpha 90.00
_cell_angle_beta 90.00
_cell_angle_gamma 90.00
_symmetry_space_group_name_H-M 'F m -3 m'
_symmetry_Int_Tables_number 225
_symmetry_space_group_name_Hall '-F 4 2 3'
loop_
_atom_site_label
_atom_site_type_symbol
_atom_site_fract_x
_atom_site_fract_y
_atom_site_fract_z
Ca1 Ca 0.0000 0.0000 0.0000
Be1 Be 0.2500 0.2500 0.2500
Os1 Os 0.0000 0.0000 0.5000
```

# 3
VASP calculation (GGA-PBE) on a relaxed CaBeOs2 crystal.

E_tot in eV/atom: -6.262
Volume in A^3/atom: 15.67
Formation energy from the elements in eV/atom: 0.78

The structure in CIF format:
```
data_CaBeOs2
_cell_length_a 5.5787
_cell_length_b 8.7421
_cell_length_c 2.5705
_cell_angle_alpha 90.00
_cell_angle_beta 90.00
_cell_angle_gamma 90.00
_symmetry_space_group_name_H-M 'C m m m'
_symmetry_Int_Tables_number 65
_symmetry_space_group_name_Hall '-C 2 2'
loop_
_atom_site_label
_atom_site_type_symbol
_atom_site_fract_x
_atom_site_fract_y
_atom_site_fract_z
Ca1 Ca 0.0000 0.0000 0.0000
Be1 Be 0.0000 0.5000 0.0000
Os1 Os 0.2500 0.2500 0.5000
```

What are the D(E_F) values for these records? In order: 0.441 0.511 0.886 states/eV per atom.